{"formula": "VHgSeF2", "functional": "PBE with a Hubbard U", "state": "relaxed", "lattice_angstrom": [[4.037, 0.000, 0.000], [0.000, 4.037, 0.000], [0.000, 0.000, 5.546]], "species": ["V", "Hg", "Se", "F", "F"], "fractional_positions": [[0.000, 0.000, 0.000], [0.500, 0.500, 0.500], [0.000, 0.000, 0.500], [0.000, 0.500, 0.000], [0.500, 0.000, 0.000]], "magmom_total_mub_per_atom": 0.4918, "final_energy_ev_per_cell": -22.78, "dos_ef_per_ev_fu": 2.5}